## LiPRh3 (PBEsol)

Data for a geometry-optimized LiPRh3 structure.

Cell and atoms, written as POSCAR:
```
LiPRh3
1.0
-0.105 -2.326 -3.282
3.062 -2.175 1.444
-2.608 -2.460 1.827
P Rh Li
1 3 1
Direct
0.500 0.500 0.500 P
0.000 0.500 0.000 Rh
0.000 0.000 0.500 Rh
0.500 0.000 0.000 Rh
0.000 0.000 0.000 Li
```

Summary:
- Space-group type: Pm-3m (221)
- E_tot: -28.4 eV/cell

***

## SrCuN2 (PBEsol)

Data for a geometry-optimized SrCuN2 structure.

Cell and atoms, written as POSCAR:
```
SrCuN2
1.0
-0.996 3.045 0.647
-2.446 1.320 -1.720
-5.273 -0.778 3.795
Sr Cu N
1 1 2
Direct
0.000 0.000 0.000 Sr
0.500 0.500 0.500 Cu
0.873 0.873 0.380 N
0.127 0.127 0.620 N
```

Summary:
- Space-group type: R-3m (166)
- E_tot: -18.9 eV/cell

***

## Li2SiNiO4 (PBEsol)

Data for a geometry-optimized Li2SiNiO4 structure.

Cell and atoms, written as POSCAR:
```
Li2SiNiO4
1.0
-2.027 4.303 0.775
-4.769 -2.118 -0.712
-0.351 -1.267 6.116
Li Si Ni O
4 2 2 8
Direct
0.991 0.828 0.251 Li
0.491 0.172 0.249 Li
0.991 0.828 0.749 Li
0.491 0.172 0.751 Li
0.502 0.661 0.500 Si
0.002 0.339 0.000 Si
0.986 0.312 0.500 Ni
0.486 0.688 0.000 Ni
0.844 0.659 0.500 O
0.344 0.341 0.000 O
0.391 0.365 0.500 O
0.891 0.635 0.000 O
0.897 0.187 0.215 O
0.397 0.813 0.285 O
0.397 0.813 0.715 O
0.897 0.187 0.785 O
```

Summary:
- Space-group type: Pmn2_1 (31)
- Energy above the most stable polymorph in this dataset: 0 meV/atom

***

## CaNbPt2 (PBEsol)

Data for a geometry-optimized CaNbPt2 structure.

Cell and atoms, written as POSCAR:
```
CaNbPt2
1.0
4.659 0.000 0.000
2.330 4.035 0.000
2.330 1.345 3.804
Nb Ca Pt
1 1 2
Direct
0.500 0.500 0.500 Nb
0.000 0.000 0.000 Ca
0.250 0.250 0.250 Pt
0.750 0.750 0.750 Pt
```

Summary:
- Space-group type: Fm-3m (225)
- E_tot: -28.4 eV/cell

***

## Ag2CO3 (PBEsol)

Data for a geometry-optimized Ag2CO3 structure.

Cell and atoms, written as POSCAR:
```
Ag2CO3
1.0
-0.849 1.870 -2.371
4.888 -5.103 -5.775
-12.598 -9.074 -2.646
Ag C O
12 6 18
Direct
0.000 0.828 0.923 Ag
0.500 0.678 0.069 Ag
0.500 0.644 0.748 Ag
0.000 0.328 0.077 Ag
0.000 0.329 0.420 Ag
0.000 0.344 0.749 Ag
0.500 0.178 0.931 Ag
0.500 0.182 0.573 Ag
0.500 0.144 0.252 Ag
0.000 0.829 0.580 Ag
0.000 0.844 0.251 Ag
0.500 0.682 0.427 Ag
0.000 0.000 0.084 C
0.500 0.001 0.751 C
0.000 0.501 0.582 C
0.500 0.501 0.249 C
0.000 0.500 0.916 C
0.000 0.001 0.418 C
0.500 0.383 0.203 O
0.000 0.114 0.132 O
0.000 0.016 0.002 O
0.500 0.883 0.797 O
0.000 0.871 0.116 O
0.500 0.629 0.214 O
0.000 0.614 0.868 O
0.000 0.615 0.632 O
0.000 0.516 0.998 O
0.000 0.518 0.501 O
0.500 0.490 0.332 O
0.000 0.371 0.615 O
0.000 0.371 0.884 O
0.500 0.129 0.786 O
0.000 0.115 0.368 O
0.000 0.018 0.499 O
0.500 0.990 0.668 O
0.000 0.871 0.385 O
```

Summary:
- Space-group type: Pmc2_1 (26)
- Energy above the most stable polymorph in this dataset: 42 meV/atom

***

## BeCd2 (PBEsol)

Data for a geometry-optimized BeCd2 structure.

Cell and atoms, written as POSCAR:
```
BeCd2
1.0
-1.969 3.576 2.327
-3.157 -1.189 3.900
2.572 1.859 4.064
Be Cd
2 4
Direct
0.250 0.000 0.000 Be
0.750 0.000 0.000 Be
0.842 0.500 0.816 Cd
0.158 0.500 0.184 Cd
0.342 0.816 0.500 Cd
0.658 0.184 0.500 Cd
```

Summary:
- Space-group type: I4/mcm (140)
- Energy above the most stable polymorph in this dataset: 0 meV/atom

***

## CuTcPt2 (PBEsol)

Data for a geometry-optimized CuTcPt2 structure.

Cell and atoms, written as POSCAR:
```
CuTcPt2
1.0
-1.643 3.397 0.281
-2.934 -1.251 -2.036
0.520 -2.197 4.116
Cu Pt Tc
1 2 1
Direct
0.500 0.500 0.000 Cu
0.750 0.250 0.500 Pt
0.250 0.750 0.500 Pt
0.000 0.000 0.000 Tc
```

Summary:
- Space-group type: I4/mmm (139)
- Energy above the most stable polymorph in this dataset: 159 meV/atom

***

## BRhN2F (PBEsol)

Data for a geometry-optimized BRhN2F structure.

Cell and atoms, written as POSCAR:
```
BRhN2F
1.0
3.062 0.000 0.000
0.000 3.555 0.000
0.000 0.000 3.555
B N Rh F
1 2 1 1
Direct
0.000 0.000 0.000 B
0.000 0.000 0.500 N
0.000 0.500 0.000 N
0.500 0.500 0.500 Rh
0.500 0.000 0.000 F
```

Summary:
- Space-group type: P4/mmm (123)
- E_tot: -31.2 eV/cell

***

no.,calculated density (kg/m³)
1,8835
2,5134
3,3444
4,12148
5,6095
6,7843
7,16591
8,6899